Record 1
PuSi3Pd10 | GGA-PBE | relaxed

* M_tot: 9.7 μB per cell
* E_form (uncorrected): -0.596 eV/atom
* symmetry: Fm-3m, No. 225

a b c (Å): 8.6785 8.6785 8.6785
angles (deg): 60.00 60.00 60.00
Fractional positions:
Pu1 0.2500 0.2500 0.2500
Pu2 0.7500 0.7500 0.7500
Si1 0.2354 0.2354 0.7646
Si2 0.2354 0.7646 0.2354
Si3 0.2354 0.7646 0.7646
Si4 0.7646 0.2354 0.2354
Si5 0.7646 0.2354 0.7646
Si6 0.7646 0.7646 0.2354
Pd1 0.1157 0.1157 0.1157
Pd2 0.1157 0.1157 0.6529
Pd3 0.1157 0.6529 0.1157
Pd4 0.1556 0.5000 0.5000
Pd5 0.1556 0.5000 0.8444
Pd6 0.1556 0.8444 0.5000
Pd7 0.3471 0.8843 0.8843
Pd8 0.5000 0.1556 0.5000
Pd9 0.5000 0.1556 0.8444
Pd10 0.5000 0.5000 0.1556
Pd11 0.5000 0.5000 0.8444
Pd12 0.5000 0.8444 0.1556
Pd13 0.5000 0.8444 0.5000
Pd14 0.6529 0.1157 0.1157
Pd15 0.8444 0.1556 0.5000
Pd16 0.8444 0.5000 0.1556
Pd17 0.8444 0.5000 0.5000
Pd18 0.8843 0.3471 0.8843
Pd19 0.8843 0.8843 0.3471
Pd20 0.8843 0.8843 0.8843

***

Record 2
BaPmGeSe4 | GGA-PBE | relaxed

* M_tot: 0.0 μB per cell
* E_form (uncorrected): -1.266 eV/atom
* symmetry: P2_1/m, No. 11

a b c (Å): 7.1590 7.0722 8.8188
angles (deg): 90.00 107.97 90.00
Fractional positions:
Ba1 0.2483 0.2500 0.4374
Ba2 0.7517 0.7500 0.5626
Pm1 0.2742 0.2500 0.9429
Pm2 0.7258 0.7500 0.0571
Ge1 0.2753 0.7500 0.1855
Ge2 0.7247 0.2500 0.8145
Se1 0.0491 0.7500 0.9147
Se2 0.0573 0.7500 0.3597
Se3 0.4850 0.5178 0.7748
Se4 0.4850 0.9822 0.7748
Se5 0.5150 0.0178 0.2252
Se6 0.5150 0.4822 0.2252
Se7 0.9427 0.2500 0.6403
Se8 0.9509 0.2500 0.0853

***

Record 3
PrCu2Pd4 | GGA-PBE | relaxed

* M_tot: 0.0 μB per cell
* ΔH_f (0 K): 0.160 eV/atom
* symmetry: I4/mmm, No. 139
* energy above the most stable polymorph in this dataset: 565.4 meV per atom

a b c (Å): 6.1381 6.1381 6.1381
angles (deg): 99.33 99.33 132.52
Fractional positions:
Pr1 0.0000 0.0000 0.0000
Cu1 0.2500 0.7500 0.5000
Cu2 0.7500 0.2500 0.5000
Pd1 0.2689 0.5000 0.7689
Pd2 0.5000 0.2689 0.7689
Pd3 0.5000 0.7311 0.2311
Pd4 0.7311 0.5000 0.2311

***

| no. | final energy (eV/cell) |
| --- | --- |
| 1 | -181.747 |
| 2 | -68.176 |
| 3 | -32.621 |